NiSnO3 | PBE+U | optimized geometry

The structure in CIF format:
```
data_NiSnO3
_space_group_name_H-M_alt 'P m -3 m'
_space_group_IT_number 221
_space_group_name_Hall '-P 4 2 3'
_cell_length_a 3.9827
_cell_length_b 3.9827
_cell_length_c 3.9827
_cell_angle_alpha 90.00
_cell_angle_beta 90.00
_cell_angle_gamma 90.00
loop_
_atom_site_label
_atom_site_fract_x
_atom_site_fract_y
_atom_site_fract_z
_atom_site_occupancy
Ni1 0.0000 0.0000 0.0000 1
Sn1 0.5000 0.5000 0.5000 1
O1 0.0000 0.5000 0.5000 1
```

ρ, g/cm³: 5.9
M_tot, μB per formula unit: 2.0
Calculated total energy, eV per atom: -4.642
Volume, A^3/atom: 12.63
DOS at the Fermi energy, states/eV per atom: 1.762